# 1
The following is a DFT calculation (PBE) of a relaxed Cu5Pd2Au5 crystal.

DFT formation energy = -0.07 eV per atom
relative energy among the computed polymorphs = 0 meV/atom

Unit cell a=11.682 b=3.877 c=8.982 alpha=90.00 beta=116.16 gamma=90.00
Space group C2/m (No. 12)
Symmetry-distinct sites (fractional):
Cu 0.000 0.000 0.000 (multiplicity 2)
Cu 0.168 0.000 0.500 (multiplicity 4)
Cu 0.247 0.500 0.743 (multiplicity 4)
Pd 0.086 0.000 0.746 (multiplicity 4)
Au 0.000 0.500 0.500 (multiplicity 2)
Au 0.096 0.500 0.262 (multiplicity 4)
Au 0.161 0.500 0.000 (multiplicity 4)


# 2
The following is a DFT calculation (PBE) of a relaxed Cu2PdAu crystal.

DFT formation energy = -0.10 eV per atom
relative energy among the computed polymorphs = 21 meV/atom

Unit cell a=3.164 b=3.164 c=5.754 alpha=90.00 beta=90.00 gamma=90.00
Space group P4/mmm (No. 123)
Symmetry-distinct sites (fractional):
Cu 0.000 0.000 0.242 (multiplicity 2)
Pd 0.500 0.500 0.000 (multiplicity 1)
Au 0.500 0.500 0.500 (multiplicity 1)


# 3
The following is a DFT calculation (PBE) of a relaxed Cu3Pd6Au crystal.

DFT formation energy = 0.05 eV per atom
relative energy among the computed polymorphs = 45 meV/atom

Unit cell a=9.650 b=11.323 c=2.813 alpha=90.00 beta=90.00 gamma=90.00
Space group Pnnm (No. 58)
Symmetry-distinct sites (fractional):
Cu 0.000 0.000 0.000 (multiplicity 2)
Cu 0.117 0.322 0.500 (multiplicity 4)
Pd 0.073 0.775 0.000 (multiplicity 4)
Pd 0.215 0.947 0.500 (multiplicity 4)
Pd 0.226 0.152 0.000 (multiplicity 4)
Au 0.000 0.500 0.000 (multiplicity 2)


# 4
The following is a DFT calculation (PBE) of a relaxed CuPd6Au8 crystal.

DFT formation energy = 0.07 eV per atom
relative energy among the computed polymorphs = 0 meV/atom

Unit cell a=7.6540 b=7.6540 c=16.4629 alpha=90.00 beta=90.00 gamma=120.00
Space group R-3 (No. 148, hexagonal axes)
Symmetry-distinct sites (fractional):
Cu 0.0000 0.0000 0.0000 (multiplicity 3)
Pd 0.0063 0.6834 0.0476 (multiplicity 18)
Au 0.0000 0.0000 0.3263 (multiplicity 6)
Au 0.0063 0.6596 0.8793 (multiplicity 18)


# 5
The following is a DFT calculation (PBE) of a relaxed Cu7Pd2Au3 crystal.

DFT formation energy = 0.04 eV per atom

Unit cell a=4.287 b=2.776 c=14.816 alpha=90.00 beta=91.97 gamma=90.00
Space group P2/m (No. 10)
Symmetry-distinct sites (fractional):
Cu 0.000 0.000 0.000 (multiplicity 1)
Cu 0.204 0.500 0.175 (multiplicity 2)
Cu 0.255 0.500 0.541 (multiplicity 2)
Cu 0.299 0.000 0.858 (multiplicity 2)
Pd 0.277 0.500 0.714 (multiplicity 2)
Au 0.235 0.000 0.379 (multiplicity 2)
Au 0.500 0.500 0.000 (multiplicity 1)


# 6
The following is a DFT calculation (PBE) of a relaxed CuPdAu3 crystal.

DFT formation energy = 0.04 eV per atom
relative energy among the computed polymorphs = 0 meV/atom

Unit cell a=8.236 b=8.118 c=5.673 alpha=90.00 beta=111.58 gamma=90.00
Space group C2/m (No. 12)
Symmetry-distinct sites (fractional):
Cu 0.240 0.000 0.498 (multiplicity 4)
Pd 0.081 0.000 0.812 (multiplicity 4)
Au 0.072 0.500 0.789 (multiplicity 4)
Au 0.174 0.249 0.198 (multiplicity 8)


# 7
The following is a DFT calculation (PBE) of a relaxed CuPdAu14 crystal.

DFT formation energy = -0.01 eV per atom

Unit cell a=5.754 b=5.754 c=8.526 alpha=90.00 beta=90.00 gamma=90.00
Space group P4/mmm (No. 123)
Symmetry-distinct sites (fractional):
Cu 0.000 0.000 0.000 (multiplicity 1)
Pd 0.500 0.500 0.000 (multiplicity 1)
Au 0.000 0.000 0.500 (multiplicity 1)
Au 0.000 0.500 0.000 (multiplicity 2)
Au 0.000 0.500 0.500 (multiplicity 2)
Au 0.248 0.248 0.243 (multiplicity 8)
Au 0.500 0.500 0.500 (multiplicity 1)


# 8
The following is a DFT calculation (PBE) of a relaxed Cu2Pd6Au crystal.

DFT formation energy = -0.06 eV per atom
relative energy among the computed polymorphs = 6 meV/atom

Unit cell a=3.916 b=11.755 c=11.759 alpha=90.00 beta=90.00 gamma=90.00
Space group Fmmm (No. 69)
Symmetry-distinct sites (fractional):
Cu 0.000 0.000 0.169 (multiplicity 8)
Pd 0.000 0.162 0.330 (multiplicity 16)
Pd 0.000 0.167 0.000 (multiplicity 8)
Au 0.000 0.000 0.500 (multiplicity 4)


# 9
The following is a DFT calculation (PBE) of a relaxed Cu4Pd4Au3 crystal.

DFT formation energy = 0.03 eV per atom
relative energy among the computed polymorphs = 119 meV/atom

Unit cell a=2.808 b=8.579 c=14.224 alpha=90.00 beta=90.00 gamma=90.00
Space group Immm (No. 71)
Symmetry-distinct sites (fractional):
Cu 0.000 0.248 0.178 (multiplicity 8)
Pd 0.000 0.000 0.298 (multiplicity 4)
Pd 0.000 0.218 0.000 (multiplicity 4)
Au 0.000 0.000 0.500 (multiplicity 2)
Au 0.000 0.500 0.384 (multiplicity 4)


# 10
The following is a DFT calculation (PBE) of a relaxed CuPd3Au crystal.

DFT formation energy = 0.10 eV per atom
relative energy among the computed polymorphs = 167 meV/atom

Unit cell a=2.848 b=8.802 c=6.800 alpha=90.00 beta=101.98 gamma=90.00
Space group P2_1/m (No. 11)
Symmetry-distinct sites (fractional):
Cu 0.142 0.250 0.283 (multiplicity 2)
Pd 0.200 0.750 0.399 (multiplicity 2)
Pd 0.346 0.507 0.692 (multiplicity 4)
Au 0.481 0.250 0.961 (multiplicity 2)


# 11
The following is a DFT calculation (PBE) of a relaxed Cu2Pd4Au5 crystal.

DFT formation energy = 0.09 eV per atom
relative energy among the computed polymorphs = 102 meV/atom

Unit cell a=2.783 b=7.306 c=18.582 alpha=90.00 beta=90.00 gamma=90.00
Space group Immm (No. 71)
Symmetry-distinct sites (fractional):
Cu 0.000 0.000 0.094 (multiplicity 4)
Pd 0.000 0.000 0.229 (multiplicity 4)
Pd 0.000 0.315 0.500 (multiplicity 4)
Au 0.000 0.207 0.352 (multiplicity 8)
Au 0.000 0.500 0.000 (multiplicity 2)


# 12
The following is a DFT calculation (PBE) of a relaxed PmCuPdAu3 crystal.

DFT formation energy = -0.26 eV per atom

Unit cell a=8.507 b=11.333 c=5.474 alpha=90.00 beta=90.00 gamma=90.00
Space group Cmcm (No. 63)
Symmetry-distinct sites (fractional):
Pm 0.000 0.174 0.250 (multiplicity 4)
Cu 0.000 0.432 0.250 (multiplicity 4)
Pd 0.000 0.091 0.750 (multiplicity 4)
Au 0.000 0.333 0.750 (multiplicity 4)
Au 0.244 0.500 0.000 (multiplicity 8)


| no. | size of the total moment (μB/cell) |
| --- | --- |
| 1 | 0.00 |
| 2 | 0.00 |
| 3 | 0.00 |
| 4 | 0.00 |
| 5 | 0.00 |
| 6 | 0.00 |
| 7 | 0.00 |
| 8 | 0.00 |
| 9 | 0.00 |
| 10 | 0.00 |
| 11 | 0.00 |
| 12 | 0.00 |